Run A
RbCe2Se4 PBE relaxed; SG = Imma
1.0
-2.398 -0.252 8.518
-2.032 -7.774 3.798
5.512 -3.467 6.049
Se Ce Rb
8 4 2
Cartesian
-0.556 -6.946 6.210
0.629 -2.899 4.691
1.841 -8.821 9.457
-0.759 -2.673 8.907
3.008 -4.403 7.289
0.454 -8.595 13.673
-1.925 -7.091 11.076
1.638 -4.547 12.154
1.740 -5.621 4.923
2.756 -1.734 3.025
1.557 -1.860 7.283
0.000 0.000 0.000
-1.016 -3.887 1.899
-2.215 -4.013 6.158



Run B
RbCe2Se4 PBE relaxed; SG = Cmcm
1.0
-1.801 -1.740 -3.525
7.369 -0.338 -0.947
0.218 -13.182 6.397
Ce Rb Se
4 2 8
Cartesian
1.836 -6.033 2.041
3.950 -9.226 -0.115
4.030 -14.052 2.227
1.756 -1.208 -0.301
5.129 -4.243 -0.526
0.657 -11.017 2.452
-0.792 -7.461 1.436
2.524 -2.899 -2.510
3.200 -8.557 2.590
1.073 -3.486 1.173
2.586 -6.702 -0.664
3.263 -12.361 4.436
4.714 -11.774 0.753
-0.900 -0.870 -1.762



run B is favored, and the nearest alternative lies 0.7 kJ/mol of atoms above it.



Run A
RbCe2Te4 PBE relaxed; SG = Imma
1.0
8.188 0.000 4.719
2.788 7.783 4.626
-0.006 0.049 9.474
Ce Te Rb
4 8 2
Cartesian
-0.003 0.024 4.737
4.091 0.024 7.096
1.391 3.916 7.050
0.000 0.000 0.000
7.164 1.855 11.789
8.386 5.977 9.670
2.584 1.855 9.149
2.584 1.813 4.979
6.817 1.611 7.098
8.385 6.019 13.839
3.805 5.977 7.030
4.152 6.221 11.721
5.488 3.892 4.672
1.394 3.892 2.313



Run B
RbCe2Te4 PBE relaxed; SG = R-3m
1.0
4.854 0.000 0.000
2.427 4.203 0.000
2.427 1.401 13.468
Rb Ce Te
1 2 4
Cartesian
4.854 2.802 6.734
4.854 2.802 11.046
4.854 2.802 2.422
7.280 4.203 12.356
7.280 4.203 4.142
2.427 1.401 1.111
2.427 1.401 9.326



run A is favored, and the nearest alternative lies 3.4 kJ/mol of atoms above it.



Run A
RbCeTl2 PBE relaxed; SG = P4/mmm
1.0
-1.756 -3.488 0.808
3.580 -1.707 0.412
-0.032 2.055 8.802
Rb Tl Ce
1 2 1
Cartesian
0.896 -1.570 5.011
-0.006 0.413 1.771
-0.026 1.642 7.032
0.912 -2.597 0.610



Run B
RbCeTl2 PBE relaxed; SG = R-3m
1.0
-3.283 1.890 -0.330
-2.677 -0.357 2.677
2.496 9.284 6.434
Tl Ce Rb
2 1 1
Cartesian
-0.965 2.511 2.070
-2.499 8.307 6.710
0.000 0.000 0.000
-1.732 5.409 4.390



run A is favored, and the nearest alternative lies 15.0 kJ/mol of atoms above it.



Run A
CeRe3 PBE relaxed; SG = Pmm2
1.0
2.920 0.000 0.000
0.000 4.466 0.000
0.000 0.000 5.327
Re Ce
3 1
Cartesian
0.000 0.000 5.232
1.460 0.000 2.856
1.460 2.233 4.385
0.000 2.233 1.732



Run B
CeRe3 PBE relaxed; SG = C2/m
1.0
-5.063 -1.367 -0.978
3.005 -3.043 3.188
-0.001 6.728 6.962
Re Ce
9 3
Cartesian
-3.111 0.509 1.281
-1.643 -0.977 2.985
0.177 4.249 8.644
1.052 1.808 7.891
-2.959 2.695 5.783
-0.416 3.294 6.187
0.901 -0.377 3.389
1.502 1.842 5.075
-2.236 -1.932 0.528
-0.996 0.210 5.956
0.000 0.000 0.000
-1.063 2.107 3.215



run B is favored, and the nearest alternative lies 41.5 kJ/mol of atoms above it.



Run A
CeReRu PBE relaxed; SG = I4mm
1.0
-0.018 1.628 -2.462
-1.292 -2.217 -1.457
-4.987 2.569 3.503
Re Ru Ce
1 1 1
Cartesian
-3.502 1.412 0.958
-2.791 0.566 -1.375
-0.004 0.002 0.001



Run B
CeReRu PBE relaxed; SG = P4_12_12
1.0
-2.089 5.805 0.554
0.525 -0.399 6.159
7.032 2.572 -0.433
Ce Re Ru
4 4 4
Cartesian
5.106 3.174 4.350
-1.197 4.136 5.135
3.148 2.557 1.362
0.361 4.805 1.931
-0.682 2.357 2.927
3.352 7.337 0.588
2.116 0.641 5.693
2.634 4.335 3.570
1.389 2.365 4.135
-0.247 0.855 1.062
2.199 5.838 5.435
4.079 5.613 2.146



run A is favored, and the nearest alternative lies 51.5 kJ/mol of atoms above it.



Run A
Ce2ReSn PBE relaxed; SG = P4/mmm
1.0
3.352 0.000 0.000
0.000 3.352 0.000
0.000 0.000 8.599
Ce Re Sn
2 1 1
Cartesian
0.000 0.000 1.784
0.000 0.000 6.815
1.676 1.676 0.000
1.676 1.676 4.299



Run B
Ce2ReSn PBE relaxed; SG = R-3m
1.0
3.191 0.000 0.000
1.595 2.763 0.000
1.595 0.921 11.137
Ce Sn Re
2 1 1
Cartesian
4.786 2.763 3.316
1.595 0.921 7.821
0.000 0.000 0.000
3.191 1.842 5.569



run A is favored, and the nearest alternative lies 49.3 kJ/mol of atoms above it.



Run A
CeTmRe PBE relaxed; SG = C2/m
1.0
5.198 2.901 -0.343
2.876 5.212 -0.343
-4.406 -4.428 8.043
Ce Tm Re
2 2 2
Cartesian
1.237 1.243 4.811
2.431 2.442 2.547
-0.840 -0.844 6.199
4.508 4.530 1.159
-3.083 -3.098 7.498
6.750 6.783 -0.140



Run B
CeTmRe PBE relaxed; SG = I4mm
1.0
-0.170 -0.614 3.332
-3.271 -0.837 -0.321
3.415 -5.493 -2.564
Tm Ce Re
1 1 1
Cartesian
0.125 -0.459 -0.078
0.996 -3.656 -0.622
-1.147 -2.828 1.147



run B is favored, and the nearest alternative lies 5.8 kJ/mol of atoms above it.



Run A
CeV2Re PBE relaxed; SG = P4/mmm
1.0
-0.174 0.014 3.029
-2.295 -1.981 -0.123
4.880 -5.673 0.306
V Ce Re
2 1 1
Cartesian
0.951 -1.106 0.060
3.929 -4.567 0.247
1.206 -3.820 1.606
-1.234 -0.984 1.453



Run B
CeV2Re PBE relaxed; SG = R-3m
1.0
-0.546 -2.260 -3.522
-2.567 -3.349 0.019
-5.010 1.167 -2.500
Re Ce V
1 1 2
Cartesian
0.000 0.000 0.000
-4.062 -2.221 -3.001
-6.666 -2.892 -4.694
-1.457 -1.549 -1.308



run A is favored, and the nearest alternative lies 19.7 kJ/mol of atoms above it.



Run A
Ce3Rh2 PBE relaxed; SG = Pnma
1.0
3.885 0.000 0.000
0.000 10.878 0.000
0.000 0.000 11.520
Ce Rh
12 8
Cartesian
0.971 10.287 4.313
0.971 6.030 10.073
2.913 7.474 3.195
2.913 1.517 10.835
0.971 9.361 0.685
2.913 3.922 5.075
0.971 3.405 8.325
2.913 8.844 8.955
2.913 4.848 1.447
2.913 0.591 7.207
0.971 6.957 6.445
0.971 2.035 2.565
0.971 3.453 11.516
2.913 7.426 0.004
2.913 0.045 1.973
2.913 5.394 7.733
0.971 1.986 5.756
0.971 10.834 9.547
0.971 5.484 3.787
2.913 8.892 5.764



Run B
Ce3Rh2 PBE relaxed; SG = R-3
1.0
-4.138 6.026 -1.235
-7.068 -2.148 -0.623
-3.495 1.724 6.307
Ce Rh
9 6
Cartesian
-9.419 1.317 2.916
-5.281 4.286 1.533
0.000 0.000 0.000
-5.752 1.318 3.712
-3.029 1.154 0.917
-8.948 4.284 0.737
-6.862 1.216 0.172
-11.671 4.448 3.532
-7.838 4.386 4.277
-7.520 -0.782 1.994
-9.746 1.814 -0.267
-7.180 6.384 2.455
-8.194 1.375 5.414
-4.954 3.789 4.716
-6.507 4.227 -0.965



run B is favored, and the nearest alternative lies 1.7 kJ/mol of atoms above it.



Run A
Ce5Rh2 PBE relaxed; SG = C2/c
1.0
-5.444 1.813 2.358
-0.886 -6.385 2.865
6.653 2.639 5.171
Ce Rh
10 4
Cartesian
-0.265 -1.822 2.715
-4.868 -3.629 5.949
-1.086 -3.081 6.123
-1.911 0.534 5.239
0.587 -0.112 7.678
2.233 -2.467 5.154
-2.749 -4.095 3.051
5.190 1.695 4.444
-3.581 -0.478 2.171
1.409 1.148 4.270
-3.383 -1.834 4.608
3.706 -0.099 5.785
1.363 -2.659 8.040
-1.040 0.726 2.353



Run B
Ce5Rh2 PBE relaxed; SG = Ibam
1.0
-2.556 6.278 -0.800
-6.823 -2.478 2.355
6.274 -0.479 5.309
Ce Rh
10 4
Cartesian
-4.051 0.330 0.977
-1.913 -2.038 4.678
-2.352 3.461 5.559
0.086 2.220 2.586
-6.849 1.249 2.567
-5.329 3.469 0.577
3.744 2.072 4.297
-0.754 -0.141 1.304
-1.192 5.359 2.186
-3.192 1.101 4.278
1.347 4.724 3.651
-0.257 0.538 5.045
-4.452 -1.403 3.213
-2.848 2.782 1.818



run A is favored, and the nearest alternative lies 4.9 kJ/mol of atoms above it.



Run A
CeRh6 PBE relaxed; SG = Im-3m
1.0
-1.668 0.812 5.551
-2.412 -4.917 -2.062
5.831 -0.438 -0.241
Rh Ce
6 1
Cartesian
2.936 -1.152 2.079
2.750 -2.584 0.176
0.689 -3.704 -0.279
-0.999 -1.959 3.072
1.061 -0.839 3.527
-1.186 -3.391 1.168
0.000 0.000 0.000



Run B
CeRh6 PBE relaxed; SG = Pnma
1.0
-4.333 2.009 2.129
-0.667 -6.857 5.113
5.727 4.776 7.153
Rh Ce
24 4
Cartesian
2.870 1.821 7.336
-0.252 0.169 2.540
0.398 -2.441 6.324
-2.075 1.314 4.171
-3.546 -2.598 4.868
0.329 2.368 8.070
-1.114 0.510 6.886
1.079 -5.007 6.991
-0.088 2.004 10.707
2.801 -1.387 10.223
-1.041 -4.025 8.032
1.768 3.952 6.362
-3.444 -4.584 6.948
-0.574 3.030 5.606
4.272 2.525 9.526
-0.352 4.934 7.403
4.171 4.511 7.446
0.978 -0.242 11.854
0.814 -2.077 3.687
1.841 -0.583 7.508
1.301 -3.103 8.788
2.032 1.022 9.665
-2.144 -1.894 7.057
-1.306 -1.095 4.729
-0.549 -0.918 9.383
-1.256 -4.417 4.822
1.276 0.845 5.011
1.983 4.344 9.572



run B is favored, and the nearest alternative lies 67.0 kJ/mol of atoms above it.